# PBE-GGA Ge3BO, relaxed
# calculated total energy = -4.350 eV per atom
# formation energy without anion corrections = 0.75 eV/atom
# ρ = 4.9 g/cm3
data_Ge3BO
_chemical_formula_sum 'Ge3 B1 O1'
_symmetry_space_group_name_H-M 'P m -3 m'
_symmetry_Int_Tables_number 221
_symmetry_space_group_name_Hall '-P 4 2 3'
_cell_length_a 4.373
_cell_length_b 4.373
_cell_length_c 4.373
_cell_angle_alpha 90.00
_cell_angle_beta 90.00
_cell_angle_gamma 90.00
loop_
_atom_site_label
_atom_site_type_symbol
_atom_site_fract_x
_atom_site_fract_y
_atom_site_fract_z
Ge1 Ge 0.000 0.000 0.500
B1 B 0.500 0.500 0.500
O1 O 0.000 0.000 0.000